No. 1
Here is a relaxed Ac5Be2Ge5 crystal from Alexandria via LeMat-Bulk. Energies are from GGA-PBE.

Results
ΔE_f, eV per atom: -0.531

Structure (CIF):
```
data_Ac5Be2Ge5
_chemical_formula_sum 'Ac10 Be4 Ge10'
_cell_length_a 15.944
_cell_length_b 4.228
_cell_length_c 11.914
_cell_angle_alpha 90.00
_cell_angle_beta 126.64
_cell_angle_gamma 90.00
_symmetry_space_group_name_H-M 'C 1 2/m 1'
_symmetry_Int_Tables_number 12
_symmetry_space_group_name_Hall '-C 2y'
loop_
_atom_site_label
_atom_site_type_symbol
_atom_site_fract_x
_atom_site_fract_y
_atom_site_fract_z
Ac1 Ac 0.000 0.000 0.000
Ac2 Ac 0.123 0.500 0.819
Ac3 Ac 0.184 0.500 0.580
Be1 Be 0.117 0.500 0.258
Ge1 Ge 0.000 0.000 0.500
Ge2 Ge 0.077 0.000 0.319
Ge3 Ge 0.195 0.500 0.140
```

***

No. 2
Here is a relaxed TbSc2Zn crystal from Alexandria via LeMat-Bulk. Energies are from GGA-PBE.

Results
ΔE to the lowest computed polymorph, eV per formula unit: 0.05
ΔE_f, eV per atom: -0.151

Structure (CIF):
```
data_TbSc2Zn
_chemical_formula_sum 'Tb1 Sc2 Zn1'
_cell_length_a 3.359
_cell_length_b 3.359
_cell_length_c 8.330
_cell_angle_alpha 90.00
_cell_angle_beta 90.00
_cell_angle_gamma 90.00
_symmetry_space_group_name_H-M 'P 4/m m m'
_symmetry_Int_Tables_number 123
_symmetry_space_group_name_Hall '-P 4 2'
loop_
_atom_site_label
_atom_site_type_symbol
_atom_site_fract_x
_atom_site_fract_y
_atom_site_fract_z
Tb1 Tb 0.000 0.000 0.000
Sc1 Sc 0.500 0.500 0.299
Zn1 Zn 0.000 0.000 0.500
```

***

No. 3
Here is a relaxed Ba2In2Ag crystal from Alexandria via LeMat-Bulk. Energies are from GGA-PBE.

Results
ΔE to the lowest computed polymorph, eV per formula unit: 0.00
ΔE_f, eV per atom: -0.357

Structure (CIF):
```
data_Ba2In2Ag
_chemical_formula_sum 'Ba8 In8 Ag4'
_cell_length_a 12.993
_cell_length_b 5.314
_cell_length_c 10.491
_cell_angle_alpha 90.00
_cell_angle_beta 111.44
_cell_angle_gamma 90.00
_symmetry_space_group_name_H-M 'C 1 2/m 1'
_symmetry_Int_Tables_number 12
_symmetry_space_group_name_Hall '-C 2y'
loop_
_atom_site_label
_atom_site_type_symbol
_atom_site_fract_x
_atom_site_fract_y
_atom_site_fract_z
Ba1 Ba 0.111 0.000 0.395
Ba2 Ba 0.157 0.000 0.019
In1 In 0.034 0.500 0.150
In2 In 0.103 0.500 0.658
Ag1 Ag 0.224 0.000 0.731
```

***

No. 4
Here is a relaxed MnZnFeGe crystal from Alexandria via LeMat-Bulk. Energies are from GGA-PBE.

Results
ΔE_f, eV per atom: 0.060

Structure (CIF):
```
data_MnZnFeGe
_chemical_formula_sum 'Mn4 Zn4 Fe4 Ge4'
_cell_length_a 5.850
_cell_length_b 5.850
_cell_length_c 5.850
_cell_angle_alpha 90.00
_cell_angle_beta 90.00
_cell_angle_gamma 90.00
_symmetry_space_group_name_H-M 'F -4 3 m'
_symmetry_Int_Tables_number 216
_symmetry_space_group_name_Hall 'F -4 2 3'
loop_
_atom_site_label
_atom_site_type_symbol
_atom_site_fract_x
_atom_site_fract_y
_atom_site_fract_z
Mn1 Mn 0.000 0.000 0.000
Zn1 Zn 0.250 0.250 0.750
Fe1 Fe 0.000 0.000 0.500
Ge1 Ge 0.250 0.250 0.250
```

***

No. 5
Here is a relaxed EuLuThMg crystal from Alexandria via LeMat-Bulk. Energies are from GGA-PBE.

Results
ΔE_f, eV per atom: 0.145

Structure (CIF):
```
data_EuLuThMg
_chemical_formula_sum 'Eu4 Lu4 Th4 Mg4'
_cell_length_a 7.902
_cell_length_b 7.902
_cell_length_c 7.902
_cell_angle_alpha 90.00
_cell_angle_beta 90.00
_cell_angle_gamma 90.00
_symmetry_space_group_name_H-M 'F -4 3 m'
_symmetry_Int_Tables_number 216
_symmetry_space_group_name_Hall 'F -4 2 3'
loop_
_atom_site_label
_atom_site_type_symbol
_atom_site_fract_x
_atom_site_fract_y
_atom_site_fract_z
Eu1 Eu 0.000 0.000 0.000
Lu1 Lu 0.250 0.250 0.750
Th1 Th 0.000 0.000 0.500
Mg1 Mg 0.250 0.250 0.250
```

***

No. 6
Here is a relaxed Sm3YPd3 crystal from Alexandria via LeMat-Bulk. Energies are from GGA-PBE.

Results
ΔE_f, eV per atom: -0.649

Structure (CIF):
```
data_Sm3YPd3
_chemical_formula_sum 'Sm9 Y3 Pd9'
_cell_length_a 10.0021
_cell_length_b 10.0021
_cell_length_c 6.1206
_cell_angle_alpha 90.00
_cell_angle_beta 90.00
_cell_angle_gamma 120.00
_symmetry_space_group_name_H-M 'R 3 m'
_symmetry_Int_Tables_number 160
_symmetry_space_group_name_Hall 'R 3 -2"'
loop_
_atom_site_label
_atom_site_type_symbol
_atom_site_fract_x
_atom_site_fract_y
_atom_site_fract_z
Sm1 Sm 0.0462 0.5231 0.0000
Y1 Y 0.0000 0.0000 0.9065
Pd1 Pd 0.0021 0.5010 0.4785
```

***

No. 7
Here is a relaxed SmPbSe3 crystal from Alexandria via LeMat-Bulk. Energies are from GGA-PBE.

Results
ΔE_f (raw), eV/atom: -1.00

Structure (CIF):
```
data_SmPbSe3
_chemical_formula_sum 'Sm4 Pb4 Se12'
_cell_length_a 4.222
_cell_length_b 20.374
_cell_length_c 7.354
_cell_angle_alpha 90.00
_cell_angle_beta 90.00
_cell_angle_gamma 90.00
_symmetry_space_group_name_H-M 'C m c 21'
_symmetry_Int_Tables_number 36
_symmetry_space_group_name_Hall 'C 2c -2'
loop_
_atom_site_label
_atom_site_type_symbol
_atom_site_fract_x
_atom_site_fract_y
_atom_site_fract_z
Sm1 Sm 0.000 0.165 0.000
Pb1 Pb 0.000 0.358 0.006
Se1 Se 0.000 0.076 0.685
Se2 Se 0.000 0.252 0.327
Se3 Se 0.000 0.413 0.657
```

***

No. 8
Here is a relaxed BaGaAg crystal from Alexandria via LeMat-Bulk. Energies are from GGA-PBE.

Results
ΔE_f, eV per atom: -0.228

Structure (CIF):
```
data_BaGaAg
_chemical_formula_sum 'Ba4 Ga4 Ag4'
_cell_length_a 17.662
_cell_length_b 4.506
_cell_length_c 4.808
_cell_angle_alpha 90.00
_cell_angle_beta 105.77
_cell_angle_gamma 90.00
_symmetry_space_group_name_H-M 'C 1 m 1'
_symmetry_Int_Tables_number 8
_symmetry_space_group_name_Hall 'C -2y'
loop_
_atom_site_label
_atom_site_type_symbol
_atom_site_fract_x
_atom_site_fract_y
_atom_site_fract_z
Ba1 Ba 0.000 0.000 0.000
Ba2 Ba 0.226 0.000 0.225
Ga1 Ga 0.366 0.500 0.365
Ga2 Ga 0.441 0.000 0.443
Ag1 Ag 0.109 0.500 0.610
Ag2 Ag 0.291 0.500 0.790
```

***

No. 9
Here is a relaxed SrY2Ni2 crystal from Alexandria via LeMat-Bulk. Energies are from GGA-PBE.

Results
ΔE to the lowest computed polymorph, eV per formula unit: 0.54
ΔE_f, eV per atom: -0.027

Structure (CIF):
```
data_SrY2Ni2
_chemical_formula_sum 'Sr2 Y4 Ni4'
_cell_length_a 8.345
_cell_length_b 8.345
_cell_length_c 3.312
_cell_angle_alpha 90.00
_cell_angle_beta 90.00
_cell_angle_gamma 90.00
_symmetry_space_group_name_H-M 'P 4/m b m'
_symmetry_Int_Tables_number 127
_symmetry_space_group_name_Hall '-P 4 2ab'
loop_
_atom_site_label
_atom_site_type_symbol
_atom_site_fract_x
_atom_site_fract_y
_atom_site_fract_z
Sr1 Sr 0.000 0.000 0.000
Y1 Y 0.136 0.364 0.000
Ni1 Ni 0.153 0.653 0.500
```

***

No. 10
Here is a relaxed YHoGePt crystal from Alexandria via LeMat-Bulk. Energies are from GGA-PBE.

Results
ΔE to the lowest computed polymorph, eV per formula unit: 0.53
ΔE_f, eV per atom: -0.948

Structure (CIF):
```
data_YHoGePt
_chemical_formula_sum 'Y4 Ho4 Ge4 Pt4'
_cell_length_a 7.075
_cell_length_b 7.075
_cell_length_c 7.075
_cell_angle_alpha 90.00
_cell_angle_beta 90.00
_cell_angle_gamma 90.00
_symmetry_space_group_name_H-M 'F -4 3 m'
_symmetry_Int_Tables_number 216
_symmetry_space_group_name_Hall 'F -4 2 3'
loop_
_atom_site_label
_atom_site_type_symbol
_atom_site_fract_x
_atom_site_fract_y
_atom_site_fract_z
Y1 Y 0.000 0.000 0.000
Ho1 Ho 0.000 0.000 0.500
Ge1 Ge 0.250 0.250 0.750
Pt1 Pt 0.250 0.250 0.250
```

***

No. 11
Here is a relaxed K2NaIF6 crystal from Alexandria via LeMat-Bulk. Energies are from GGA-PBE.

Results
ΔE_f (raw), eV/atom: -2.21

Structure (CIF):
```
data_K2NaIF6
_chemical_formula_sum 'K2 Na1 I1 F6'
_cell_length_a 5.267
_cell_length_b 6.308
_cell_length_c 6.681
_cell_angle_alpha 65.00
_cell_angle_beta 70.68
_cell_angle_gamma 89.26
_symmetry_space_group_name_H-M 'P -1'
_symmetry_Int_Tables_number 2
_symmetry_space_group_name_Hall '-P 1'
loop_
_atom_site_label
_atom_site_type_symbol
_atom_site_fract_x
_atom_site_fract_y
_atom_site_fract_z
K1 K 0.248 0.206 0.027
Na1 Na 0.500 0.000 0.500
I1 I 0.000 0.500 0.500
F1 F 0.164 0.819 0.448
F2 F 0.278 0.874 0.889
F3 F 0.370 0.416 0.351
```

***

No. 12
Here is a relaxed TiPbS2Cl crystal from Alexandria via LeMat-Bulk. Energies are from GGA-PBE.

Results
ΔE_f (raw), eV/atom: -0.82
ΔE to the lowest computed polymorph, eV per formula unit: 0.00

Structure (CIF):
```
data_TiPbS2Cl
_chemical_formula_sum 'Ti1 Pb1 S2 Cl1'
_cell_length_a 4.935
_cell_length_b 4.935
_cell_length_c 4.949
_cell_angle_alpha 90.00
_cell_angle_beta 90.00
_cell_angle_gamma 90.00
_symmetry_space_group_name_H-M 'P 4/m m m'
_symmetry_Int_Tables_number 123
_symmetry_space_group_name_Hall '-P 4 2'
loop_
_atom_site_label
_atom_site_type_symbol
_atom_site_fract_x
_atom_site_fract_y
_atom_site_fract_z
Ti1 Ti 0.000 0.000 0.000
Pb1 Pb 0.500 0.500 0.500
S1 S 0.000 0.500 0.000
Cl1 Cl 0.000 0.000 0.500
```

***

No. 13
Here is a relaxed AlInPb2 crystal from Alexandria via LeMat-Bulk. Energies are from GGA-PBE.

Results
ΔE to the lowest computed polymorph, eV per formula unit: 0.16
ΔE_f, eV per atom: 0.170

Structure (CIF):
```
data_AlInPb2
_chemical_formula_sum 'Al2 In2 Pb4'
_cell_length_a 4.775
_cell_length_b 4.775
_cell_length_c 9.667
_cell_angle_alpha 90.00
_cell_angle_beta 90.00
_cell_angle_gamma 90.00
_symmetry_space_group_name_H-M 'I -4 m 2'
_symmetry_Int_Tables_number 119
_symmetry_space_group_name_Hall 'I -4 -2'
loop_
_atom_site_label
_atom_site_type_symbol
_atom_site_fract_x
_atom_site_fract_y
_atom_site_fract_z
Al1 Al 0.000 0.000 0.000
In1 In 0.000 0.500 0.750
Pb1 Pb 0.000 0.000 0.500
Pb2 Pb 0.000 0.500 0.250
```

***

No. 14
Here is a relaxed Na2AlGe2Pd5 crystal from Alexandria via LeMat-Bulk. Energies are from GGA-PBE.

Results
ΔE_f, eV per atom: -0.495

Structure (CIF):
```
data_Na2AlGe2Pd5
_chemical_formula_sum 'Na4 Al2 Ge4 Pd10'
_cell_length_a 10.839
_cell_length_b 10.839
_cell_length_c 2.930
_cell_angle_alpha 90.00
_cell_angle_beta 90.00
_cell_angle_gamma 90.00
_symmetry_space_group_name_H-M 'P 4/m b m'
_symmetry_Int_Tables_number 127
_symmetry_space_group_name_Hall '-P 4 2ab'
loop_
_atom_site_label
_atom_site_type_symbol
_atom_site_fract_x
_atom_site_fract_y
_atom_site_fract_z
Na1 Na 0.173 0.327 0.000
Al1 Al 0.000 0.000 0.000
Ge1 Ge 0.135 0.635 0.000
Pd1 Pd 0.000 0.500 0.500
Pd2 Pd 0.058 0.811 0.500
```

***

No. 15
Here is a relaxed KMgP2 crystal from Alexandria via LeMat-Bulk. Energies are from GGA-PBE.

Results
ΔE_f, eV per atom: 0.021

Structure (CIF):
```
data_KMgP2
_chemical_formula_sum 'K1 Mg1 P2'
_cell_length_a 3.399
_cell_length_b 3.399
_cell_length_c 8.158
_cell_angle_alpha 90.00
_cell_angle_beta 90.00
_cell_angle_gamma 90.00
_symmetry_space_group_name_H-M 'P 4 m m'
_symmetry_Int_Tables_number 99
_symmetry_space_group_name_Hall 'P 4 -2'
loop_
_atom_site_label
_atom_site_type_symbol
_atom_site_fract_x
_atom_site_fract_y
_atom_site_fract_z
K1 K 0.000 0.000 0.000
Mg1 Mg 0.500 0.500 0.378
P1 P 0.000 0.000 0.614
P2 P 0.500 0.500 0.696
```

***

No. 16
Here is a relaxed Sr2AlPPt6 crystal from Alexandria via LeMat-Bulk. Energies are from GGA-PBE.

Results
ΔE_f, eV per atom: -0.823

Structure (CIF):
```
data_Sr2AlPPt6
_chemical_formula_sum 'Sr2 Al1 P1 Pt6'
_cell_length_a 6.498
_cell_length_b 6.498
_cell_length_c 6.771
_cell_angle_alpha 61.76
_cell_angle_beta 61.65
_cell_angle_gamma 60.42
_symmetry_space_group_name_H-M 'P -1'
_symmetry_Int_Tables_number 2
_symmetry_space_group_name_Hall '-P 1'
loop_
_atom_site_label
_atom_site_type_symbol
_atom_site_fract_x
_atom_site_fract_y
_atom_site_fract_z
Sr1 Sr 0.214 0.214 0.358
Al1 Al 0.500 0.500 0.500
P1 P 0.000 0.000 0.000
Pt1 Pt 0.245 0.245 0.845
Pt2 Pt 0.246 0.663 0.847
Pt3 Pt 0.335 0.756 0.155
```

***

No. 17
Here is a relaxed HfIrRhO6 crystal from Alexandria via LeMat-Bulk. Energies are from GGA-PBE.

Results
ΔE_f (raw), eV/atom: -1.52

Structure (CIF):
```
data_HfIrRhO6
_chemical_formula_sum 'Hf2 Ir2 Rh2 O12'
_cell_length_a 5.1517
_cell_length_b 5.1517
_cell_length_c 8.8739
_cell_angle_alpha 90.00
_cell_angle_beta 90.00
_cell_angle_gamma 120.00
_symmetry_space_group_name_H-M 'P -3 1 c'
_symmetry_Int_Tables_number 163
_symmetry_space_group_name_Hall '-P 3 2c'
loop_
_atom_site_label
_atom_site_type_symbol
_atom_site_fract_x
_atom_site_fract_y
_atom_site_fract_z
Hf1 Hf 0.3333 0.6667 0.2500
Ir1 Ir 0.3333 0.6667 0.7500
Rh1 Rh 0.0000 0.0000 0.0000
O1 O 0.0078 0.3382 0.6242
```

***

No. 18
Here is a relaxed Ac2CuAgN crystal from Alexandria via LeMat-Bulk. Energies are from GGA-PBE.

Results
ΔE_f (raw), eV/atom: -0.45

Structure (CIF):
```
data_Ac2CuAgN
_chemical_formula_sum 'Ac4 Cu2 Ag2 N2'
_cell_length_a 7.343
_cell_length_b 4.106
_cell_length_c 8.651
_cell_angle_alpha 90.00
_cell_angle_beta 110.30
_cell_angle_gamma 90.00
_symmetry_space_group_name_H-M 'P 1 21/m 1'
_symmetry_Int_Tables_number 11
_symmetry_space_group_name_Hall '-P 2yb'
loop_
_atom_site_label
_atom_site_type_symbol
_atom_site_fract_x
_atom_site_fract_y
_atom_site_fract_z
Ac1 Ac 0.203 0.250 0.391
Ac2 Ac 0.209 0.250 0.959
Cu1 Cu 0.438 0.750 0.241
Ag1 Ag 0.324 0.750 0.710
N1 N 0.149 0.750 0.185
```

***

No. 19
Here is a relaxed Ga2HOs2 crystal from Alexandria via LeMat-Bulk. Energies are from GGA-PBE.

Results
ΔE to the lowest computed polymorph, eV per formula unit: 0.84

Structure (CIF):
```
data_Ga2HOs2
_chemical_formula_sum 'Ga4 H2 Os4'
_cell_length_a 3.573
_cell_length_b 3.573
_cell_length_c 12.806
_cell_angle_alpha 90.00
_cell_angle_beta 90.00
_cell_angle_gamma 90.00
_symmetry_space_group_name_H-M 'I 4/m m m'
_symmetry_Int_Tables_number 139
_symmetry_space_group_name_Hall '-I 4 2'
loop_
_atom_site_label
_atom_site_type_symbol
_atom_site_fract_x
_atom_site_fract_y
_atom_site_fract_z
Ga1 Ga 0.000 0.000 0.094
H1 H 0.000 0.000 0.500
Os1 Os 0.000 0.500 0.250
```

***

No. 20
Here is a relaxed Pr2Zn4PdPt3 crystal from Alexandria via LeMat-Bulk. Energies are from GGA-PBE.

Results
ΔE_f, eV per atom: -0.741

Structure (CIF):
```
data_Pr2Zn4PdPt3
_chemical_formula_sum 'Pr2 Zn4 Pd1 Pt3'
_cell_length_a 4.239
_cell_length_b 4.239
_cell_length_c 10.784
_cell_angle_alpha 90.00
_cell_angle_beta 90.00
_cell_angle_gamma 90.00
_symmetry_space_group_name_H-M 'P -4 m 2'
_symmetry_Int_Tables_number 115
_symmetry_space_group_name_Hall 'P -4 -2'
loop_
_atom_site_label
_atom_site_type_symbol
_atom_site_fract_x
_atom_site_fract_y
_atom_site_fract_z
Pr1 Pr 0.000 0.500 0.246
Zn1 Zn 0.000 0.000 0.500
Zn2 Zn 0.000 0.500 0.870
Zn3 Zn 0.500 0.500 0.500
Pd1 Pd 0.500 0.500 0.000
Pt1 Pt 0.000 0.000 0.000
Pt2 Pt 0.000 0.500 0.638
```

***

| no. | DFT total energy (eV per cell) |
| --- | --- |
| 1 | -114.9 |
| 2 | -19.2 |
| 3 | -55.8 |
| 4 | -93.1 |
| 5 | -92.9 |
| 6 | -122.2 |
| 7 | -95.5 |
| 8 | -33.9 |
| 9 | -52.6 |
| 10 | -102.0 |
| 11 | -38.4 |
| 12 | -25.8 |
| 13 | -26.4 |
| 14 | -93.1 |
| 15 | -13.4 |
| 16 | -57.0 |
| 17 | -139.2 |
| 18 | -51.5 |
| 19 | -56.1 |
| 20 | -45.4 |